Computed, not measured: an optimized crystal structure of KPu2VO8 at the PBE+U level of DFT.

- Total DFT energy (no corrections): -8.6628 eV/atom
- Total magnetic moment: 6.00 μB per cell
- Crystal system: triclinic
- Fermi-level density of states: 6.73 states/eV/f.u.

Cell: 4.9718 4.9752 6.9352 Å, 87.74 87.72 86.47°
Space group P-1 (No. 2)
Inequivalent atoms, fractional coordinates:
K1 0.0000 0.0000 0.0000
Pu1 0.4873 0.4873 0.2605
V1 0.0000 0.0000 0.5000
O1 0.1970 0.7910 0.6938
O2 0.2101 0.8037 0.3059
O3 0.2945 0.2954 0.4924
O4 0.3377 0.3392 0.9698